(1)
Entry from Alexandria: crystalline Tl3H4Se4 at its relaxed geometry (PBE).

Cell: 4.5233 5.0006 14.3186 Å, 81.61 83.64 68.06°
Sites, in units of the cell vectors:
1 Tl 0.0000 0.0000 0.0000
2 Tl 0.2051 0.0383 0.4233
3 Tl 0.4365 0.0152 0.7119
4 H 0.1227 0.5825 0.5668
5 H 0.5403 0.5350 0.3546
6 H 0.6791 0.5074 0.0741
7 H 0.9149 0.6248 0.8312
8 Se 0.2473 0.5340 0.8602
9 Se 0.5408 0.7589 0.1304
10 Se 0.6477 0.2886 0.2959
11 Se 0.8792 0.4436 0.5795

Computed properties:
As for the space group: P1 (1). The raw total energy comes out at -35.69 eV/cell. As for the energy above the most stable polymorph in this dataset: 0.14 eV per formula unit.

(2)
Entry from Alexandria: crystalline Tl3H2Se2 at its relaxed geometry (PBE).

Cell: 4.4176 4.4517 10.9579 Å, 96.25 90.01 118.90°
Sites, in units of the cell vectors:
1 Tl 0.0000 0.0000 0.0000
2 Tl 0.3183 0.6493 0.3784
3 Tl 0.6817 0.3507 0.6216
4 H 0.2487 0.5051 0.8917
5 H 0.7513 0.4949 0.1083
6 Se 0.3628 0.7198 0.7810
7 Se 0.6372 0.2802 0.2190

Computed properties:
As for the space group: P-1 (2). The raw total energy comes out at -21.27 eV/cell.

(3)
Entry from Alexandria: crystalline Tl2H2Se at its relaxed geometry (PBE).

Cell: 7.5585 4.3565 8.9977 Å, 90.00 103.61 90.00°
Sites, in units of the cell vectors:
1 Tl 0.2233 0.0000 0.1973
2 Tl 0.2767 0.5000 0.8027
3 Tl 0.7233 0.5000 0.1973
4 Tl 0.7767 0.0000 0.8027
5 H 0.0276 0.0000 0.4701
6 H 0.4724 0.5000 0.5299
7 H 0.5276 0.5000 0.4701
8 H 0.9724 0.0000 0.5299
9 Se 0.0000 0.5000 0.0000
10 Se 0.5000 0.0000 0.0000

Computed properties:
As for the space group: C2/m (12). The raw total energy comes out at -31.98 eV/cell.

(4)
Entry from Alexandria: crystalline Tl7H12Se at its relaxed geometry (PBE).

Cell: 6.5234 7.9930 8.0913 Å, 116.33 94.68 101.86°
Sites, in units of the cell vectors:
1 Tl 0.0000 0.0000 0.0000
2 Tl 0.3124 0.2277 0.8258
3 Tl 0.3291 0.0651 0.3761
4 Tl 0.4109 0.4305 0.2776
5 Tl 0.5891 0.5695 0.7224
6 Tl 0.6709 0.9349 0.6239
7 Tl 0.6876 0.7723 0.1742
8 H 0.0555 0.7341 0.5369
9 H 0.0990 0.5468 0.7463
10 H 0.1052 0.6706 0.1286
11 H 0.1533 0.7008 0.5066
12 H 0.1747 0.6019 0.1171
13 H 0.1762 0.6458 0.8073
14 H 0.8238 0.3542 0.1927
15 H 0.8253 0.3981 0.8829
16 H 0.8467 0.2992 0.4934
17 H 0.8948 0.3294 0.8714
18 H 0.9010 0.4532 0.2537
19 H 0.9445 0.2659 0.4631
20 Se 0.5000 0.0000 0.0000

Computed properties:
As for the space group: P-1 (2). The raw total energy comes out at -59.25 eV/cell.

(5)
Entry from Alexandria: crystalline Tl3H3Se at its relaxed geometry (PBE).

Cell: 6.5675 6.5675 6.5675 Å, 86.21 86.21 86.21°
Sites, in units of the cell vectors:
1 Tl 0.0679 0.4340 0.7457
2 Tl 0.2543 0.9321 0.5660
3 Tl 0.4340 0.7457 0.0679
4 Tl 0.5660 0.2543 0.9321
5 Tl 0.7457 0.0679 0.4340
6 Tl 0.9321 0.5660 0.2543
7 H 0.1461 0.6775 0.4434
8 H 0.3225 0.5566 0.8539
9 H 0.4434 0.1461 0.6775
10 H 0.5566 0.8539 0.3225
11 H 0.6775 0.4434 0.1461
12 H 0.8539 0.3225 0.5566
13 Se 0.1678 0.1678 0.1678
14 Se 0.8322 0.8322 0.8322

Computed properties:
As for the space group: R-3 (148). The raw total energy comes out at -37.18 eV/cell.

(6)
Entry from Alexandria: crystalline Tl12H5Se3 at its relaxed geometry (PBE).

Cell: 14.0838 14.0838 14.0838 Å, 109.47 109.47 109.47°
Sites, in units of the cell vectors:
1 Tl 0.0193 0.2016 0.1129
2 Tl 0.0193 0.3178 0.9064
3 Tl 0.0887 0.7016 0.6822
4 Tl 0.0887 0.8871 0.4064
5 Tl 0.0936 0.6129 0.4113
6 Tl 0.0936 0.9807 0.6822
7 Tl 0.1129 0.0193 0.2016
8 Tl 0.1129 0.5936 0.9113
9 Tl 0.1822 0.2016 0.5887
10 Tl 0.1822 0.4807 0.5936
11 Tl 0.2016 0.1129 0.0193
12 Tl 0.2016 0.5887 0.1822
13 Tl 0.2984 0.3178 0.9113
14 Tl 0.2984 0.4807 0.3871
15 Tl 0.3178 0.9064 0.0193
16 Tl 0.3178 0.9113 0.2984
17 Tl 0.3871 0.2984 0.4807
18 Tl 0.3871 0.5887 0.9064
19 Tl 0.4064 0.0887 0.8871
20 Tl 0.4064 0.8178 0.5193
21 Tl 0.4113 0.0936 0.6129
22 Tl 0.4113 0.8178 0.7984
23 Tl 0.4807 0.3871 0.2984
24 Tl 0.4807 0.5936 0.1822
25 Tl 0.5193 0.4064 0.8178
26 Tl 0.5193 0.6129 0.7016
27 Tl 0.5887 0.1822 0.2016
28 Tl 0.5887 0.9064 0.3871
29 Tl 0.5936 0.1822 0.4807
30 Tl 0.5936 0.9113 0.1129
31 Tl 0.6129 0.4113 0.0936
32 Tl 0.6129 0.7016 0.5193
33 Tl 0.6822 0.0887 0.7016
34 Tl 0.6822 0.0936 0.9807
35 Tl 0.7016 0.5193 0.6129
36 Tl 0.7016 0.6822 0.0887
37 Tl 0.7984 0.4113 0.8178
38 Tl 0.7984 0.8871 0.9807
39 Tl 0.8178 0.5193 0.4064
40 Tl 0.8178 0.7984 0.4113
41 Tl 0.8871 0.4064 0.0887
42 Tl 0.8871 0.9807 0.7984
43 Tl 0.9064 0.0193 0.3178
44 Tl 0.9064 0.3871 0.5887
45 Tl 0.9113 0.1129 0.5936
46 Tl 0.9113 0.2984 0.3178
47 Tl 0.9807 0.6822 0.0936
48 Tl 0.9807 0.7984 0.8871
49 H 0.0000 0.0000 0.0000
50 H 0.0000 0.0000 0.5000
51 H 0.0000 0.5000 0.0000
52 H 0.0000 0.5000 0.5000
53 H 0.1250 0.7500 0.8750
54 H 0.1250 0.8750 0.2500
55 H 0.2500 0.1250 0.8750
56 H 0.2500 0.6250 0.3750
57 H 0.3750 0.2500 0.6250
58 H 0.3750 0.6250 0.7500
59 H 0.5000 0.0000 0.0000
60 H 0.5000 0.0000 0.5000
61 H 0.5000 0.5000 0.0000
62 H 0.5000 0.5000 0.5000
63 H 0.6250 0.3750 0.2500
64 H 0.6250 0.7500 0.3750
65 H 0.7500 0.3750 0.6250
66 H 0.7500 0.8750 0.1250
67 H 0.8750 0.1250 0.7500
68 H 0.8750 0.2500 0.1250
69 Se 0.1250 0.2500 0.3750
70 Se 0.1250 0.3750 0.7500
71 Se 0.2500 0.3750 0.1250
72 Se 0.2500 0.8750 0.6250
73 Se 0.3750 0.1250 0.2500
74 Se 0.3750 0.7500 0.1250
75 Se 0.6250 0.2500 0.8750
76 Se 0.6250 0.8750 0.7500
77 Se 0.7500 0.1250 0.3750
78 Se 0.7500 0.6250 0.8750
79 Se 0.8750 0.6250 0.2500
80 Se 0.8750 0.7500 0.6250

Computed properties:
As for the space group: Ia-3d (230). The raw total energy comes out at -215.28 eV/cell.

(7)
Entry from Alexandria: crystalline Tl2H3Se2 at its relaxed geometry (PBE).

Cell: 3.7221 6.5038 6.7630 Å, 104.46 99.91 98.66°
Sites, in units of the cell vectors:
1 Tl 0.1911 0.2645 0.3701
2 Tl 0.8089 0.7355 0.6299
3 H 0.4104 0.8435 0.1061
4 H 0.5000 0.5000 0.0000
5 H 0.5896 0.1565 0.8939
6 Se 0.2399 0.2385 0.8460
7 Se 0.7601 0.7615 0.1540

Computed properties:
As for the space group: P-1 (2). The raw total energy comes out at -21.72 eV/cell.

(8)
Entry from Alexandria: crystalline TlH4Se at its relaxed geometry (PBE).

Cell: 3.6083 6.9411 10.8016 Å, 100.42 94.98 99.79°
Sites, in units of the cell vectors:
1 Tl 0.1885 0.4157 0.3525
2 Tl 0.8115 0.5843 0.6475
3 H 0.0130 0.5032 0.0353
4 H 0.1084 0.8375 0.4328
5 H 0.4571 0.9872 0.6463
6 H 0.4691 0.9464 0.9834
7 H 0.5309 0.0536 0.0166
8 H 0.5429 0.0128 0.3537
9 H 0.8916 0.1625 0.5672
10 H 0.9870 0.4968 0.9647
11 Se 0.1446 0.9035 0.3080
12 Se 0.8554 0.0965 0.6920

Computed properties:
As for the space group: P-1 (2). The raw total energy comes out at -37.44 eV/cell.

(9)
Entry from Alexandria: crystalline Tl3HSe2 at its relaxed geometry (PBE).

Cell: 4.4626 7.8548 10.0142 Å, 95.77 90.23 105.62°
Sites, in units of the cell vectors:
1 Tl 0.0402 0.0538 0.3222
2 Tl 0.2436 0.4914 0.6767
3 Tl 0.3668 0.7398 0.0667
4 Tl 0.6332 0.2602 0.9333
5 Tl 0.7564 0.5086 0.3233
6 Tl 0.9598 0.9462 0.6778
7 H 0.1566 0.2942 0.7564
8 H 0.8434 0.7058 0.2436
9 Se 0.1786 0.3532 0.1395
10 Se 0.3594 0.7346 0.5120
11 Se 0.6406 0.2654 0.4880
12 Se 0.8214 0.6468 0.8605

Computed properties:
As for the space group: P-1 (2). The raw total energy comes out at -36.44 eV/cell.

(10)
Entry from Alexandria: crystalline Tm3TlHSe at its relaxed geometry (PBE).

Cell: 8.2813 4.0216 8.4739 Å, 90.00 100.50 90.00°
Sites, in units of the cell vectors:
1 Tm 0.0782 0.2500 0.3094
2 Tm 0.3295 0.2500 0.9687
3 Tm 0.3877 0.7500 0.6279
4 Tm 0.6123 0.2500 0.3721
5 Tm 0.6705 0.7500 0.0313
6 Tm 0.9218 0.7500 0.6906
7 Tl 0.3352 0.7500 0.2506
8 Tl 0.6648 0.2500 0.7494
9 H 0.4117 0.7500 0.8983
10 H 0.5883 0.2500 0.1017
11 Se 0.1507 0.2500 0.6502
12 Se 0.8493 0.7500 0.3498

Computed properties:
As for the space group: P2_1/m (11). The raw total energy comes out at -54.70 eV/cell.

(11)
Entry from Alexandria: crystalline Tl2VHSe at its relaxed geometry (PBE).

Cell: 5.9339 5.9339 3.2981 Å, 90.00 90.00 90.00°
Sites, in units of the cell vectors:
1 Tl 0.0000 0.5000 0.0000
2 Tl 0.5000 0.0000 0.0000
3 V 0.0000 0.0000 0.5000
4 H 0.5000 0.5000 0.5000
5 Se 0.5000 0.5000 0.0000

Computed properties:
As for the space group: P4/mmm (123). The raw total energy comes out at -17.75 eV/cell.

(12)
Entry from Alexandria: crystalline TlH2WSe at its relaxed geometry (PBE).

Cell: 4.1439 4.1439 4.8551 Å, 90.00 90.00 90.00°
Sites, in units of the cell vectors:
1 Tl 0.0000 0.0000 0.0000
2 H 0.0000 0.5000 0.5000
3 H 0.5000 0.0000 0.5000
4 W 0.5000 0.5000 0.5000
5 Se 0.5000 0.5000 0.0000

Computed properties:
As for the space group: P4/mmm (123). The raw total energy comes out at -22.80 eV/cell.